<1>
The following is a DFT calculation (GGA-PBE) of TlP2OsS after structural relaxation. Values from VASP.

Structure (Quantum ESPRESSO input):
```
&SYSTEM
  ibrav = 0, nat = 5, ntyp = 4
/
ATOMIC_SPECIES
Tl 204.38 Tl.upf
P 30.97 P.upf
Os 190.23 Os.upf
S 32.06 S.upf
ATOMIC_POSITIONS angstrom
Tl 0.000 0.000 0.000
P 0.000 2.250 2.731
P 2.250 0.000 2.731
Os 2.250 2.250 2.731
S 2.250 2.250 0.000
CELL_PARAMETERS angstrom
4.501 0.000 0.000
0.000 4.501 0.000
0.000 0.000 5.463
```

Results
* space group: P4/mmm (123)
* density of states at the Fermi level: 0.98 states/eV/atom

***

<2>
The following is a DFT calculation (GGA-PBE) of TlP2OsS after structural relaxation. Values from VASP.

Structure (Quantum ESPRESSO input):
```
&SYSTEM
  ibrav = 0, nat = 5, ntyp = 4
/
ATOMIC_SPECIES
Tl 204.38 Tl.upf
P 30.97 P.upf
Os 190.23 Os.upf
S 32.06 S.upf
ATOMIC_POSITIONS angstrom
Tl 0.000 0.000 0.000
P 0.000 2.517 0.000
P 2.517 0.000 0.000
Os 2.517 2.517 2.461
S 0.000 0.000 2.461
CELL_PARAMETERS angstrom
5.034 0.000 0.000
0.000 5.034 0.000
0.000 0.000 4.921
```

Results
* space group: P4/mmm (123)
* density of states at the Fermi level: 1.26 states/eV/atom

***

Which structure is most stable? <1>, by 1881 meV per atom over the runner-up.